(1)
Here is CaMg2Au after structural relaxation from Alexandria via LeMat-Bulk. Energies are from PBE-GGA.

Lattice parameters (Å, degrees): 6.2030 6.2030 5.2302 64.95 64.95 32.27
Closest atoms and distances in Å follow each position.
Element x y z (fractional)
Au1 0.7500 0.7500 0.7500  4 Mg 2.81, 4 Ca 3.13
Mg1 0.0425 0.0425 0.9565  2 Au 2.81
Mg2 0.4575 0.4575 0.5435  2 Au 2.81
Ca1 0.2500 0.2500 0.2500  4 Au 3.13, 4 Mg 3.42-3.44, 2 Ca 3.45

Output
For the energy relative to the elements, the calculation gives -0.386 eV per atom. The calculation puts the total DFT energy (no corrections) at -0.1839 Ry per atom.

***

(2)
Here is Pr5Zn2Ga2 after structural relaxation from Alexandria via LeMat-Bulk. Energies are from PBE-GGA.

Lattice parameters (Å, degrees): 8.1215 7.5971 9.0419 114.84 90.00 90.00
Closest atoms and distances in Å follow each position.
Element x y z (fractional)
Ga1 0.0000 0.2115 0.4229  6 Pr 3.03-3.15
Ga2 0.5000 0.7115 0.4229  6 Pr 3.03-3.15
Ga3 0.5000 0.2885 0.5771  6 Pr 3.03-3.15
Ga4 0.0000 0.7885 0.5771  6 Pr 3.03-3.15
Zn1 0.1183 0.6111 0.0000  1 Zn 2.56
Zn2 0.8817 0.3889 0.0000  1 Zn 2.56
Zn3 0.6183 0.8889 0.0000  1 Zn 2.56
Zn4 0.3817 0.1111 0.0000  1 Zn 2.56
Pr1 0.1792 0.1737 0.7116  3 Ga 3.03-3.15, 2 Zn 3.28-3.29
Pr2 0.5000 0.5000 0.0000  4 Zn 3.11-3.21, 2 Ga 3.47
Pr3 0.6792 0.0379 0.7116  3 Ga 3.03-3.15, 2 Zn 3.28-3.29
Pr4 0.1792 0.4621 0.2884  3 Ga 3.03-3.15, 2 Zn 3.28-3.29
Pr5 0.0000 0.0000 0.0000  4 Zn 3.11-3.21, 2 Ga 3.47
Pr6 0.8208 0.8263 0.2884  3 Ga 3.03-3.15, 2 Zn 3.28-3.29
Pr7 0.8208 0.5379 0.7116  3 Ga 3.03-3.15, 2 Zn 3.28-3.29
Pr8 0.3208 0.6737 0.7116  3 Ga 3.03-3.15, 2 Zn 3.28-3.29
Pr9 0.3208 0.9621 0.2884  3 Ga 3.03-3.15, 2 Zn 3.28-3.29
Pr10 0.6792 0.3263 0.2884  3 Ga 3.03-3.15, 2 Zn 3.28-3.29

Output
For the energy relative to the elements, the calculation gives -0.318 eV per atom. The calculation puts the total DFT energy (no corrections) at -0.2888 Ry per atom.

***

(3)
Here is ZnIr5 after structural relaxation from Alexandria via LeMat-Bulk. Energies are from PBE-GGA.

Lattice parameters (Å, degrees): 2.7494 2.7494 11.4989 90.00 90.00 90.00
Closest atoms and distances in Å follow each position.
Element x y z (fractional)
Ir1 0.5000 0.5000 0.6689  12 Ir 2.70-2.75
Ir2 0.0000 0.0000 0.8319  8 Ir 2.70-2.75, 4 Zn 2.74
Ir3 0.0000 0.0000 0.1681  8 Ir 2.70-2.75, 4 Zn 2.74
Ir4 0.5000 0.5000 0.3311  12 Ir 2.70-2.75
Ir5 0.0000 0.0000 0.5000  12 Ir 2.75
Zn1 0.5000 0.5000 0.0000  8 Ir 2.74, 4 Zn 2.75

Output
For the energy relative to the elements, the calculation gives -0.026 eV per atom. The calculation puts the total DFT energy (no corrections) at -0.5602 Ry per atom.

***

(4)
Here is EuThSn after structural relaxation from Alexandria via LeMat-Bulk. Energies are from PBE-GGA.

Lattice parameters (Å, degrees): 3.3271 5.4647 5.4647 120.00 90.00 90.00
Closest atoms and distances in Å follow each position.
Element x y z (fractional)
Eu1 0.1680 0.0000 0.0000  3 Th 3.16, 2 Eu 3.33
Sn1 0.6666 0.6667 0.3333  2 Sn 3.33, 6 Eu 3.56-3.57, 6 Th 3.56-3.57
Th1 0.1654 0.3333 0.6667  3 Eu 3.16, 2 Th 3.33

Output
For the energy relative to the elements, the calculation gives -0.062 eV per atom. The calculation puts the energy above the most stable polymorph in this dataset at 0.197 eV/atom. The calculation puts the total DFT energy (no corrections) at -0.5362 Ry per atom.